#A
Entry from the Alexandria database: a geometry-optimized HfSc2F2 structure (PBE).

Lattice parameters (Å, degrees): 3.363 3.363 7.886 77.69 77.69 90.00
Fractional coordinates of all 5 atoms:
F1 0.750 0.250 0.500
F2 0.250 0.750 0.500
Hf1 0.000 0.000 0.000
Sc1 0.651 0.651 0.697
Sc2 0.349 0.349 0.303

Values from the calculation:
total magnetization: 0.000 μB per cell
N(E_F): 3.4 states/eV per cell
space-group type: No. 139

#B
Entry from the Alexandria database: a geometry-optimized HfSc2F2 structure (PBE).

Lattice parameters (Å, degrees): 8.268 8.268 2.772 90.00 90.00 90.00
Fractional coordinates of all 10 atoms:
Sc1 0.631 0.131 0.000
Sc2 0.131 0.369 0.000
Sc3 0.369 0.869 0.000
Sc4 0.869 0.631 0.000
Hf1 0.500 0.500 0.000
Hf2 0.000 0.000 0.000
F1 0.404 0.096 0.500
F2 0.904 0.404 0.500
F3 0.596 0.904 0.500
F4 0.096 0.596 0.500

Values from the calculation:
total magnetization: 0.000 μB per cell
N(E_F): 11.9 states/eV per cell
space-group type: No. 127

The relative energies come out as #A 0.000; #B 0.876, with values in eV/atom.

#A
Entry from the Alexandria database: a geometry-optimized HfScF2 structure (PBE).

Lattice parameters (Å, degrees): 4.403 4.403 4.403 60.00 60.00 60.00
Fractional coordinates of all 4 atoms:
F1 0.250 0.250 0.250
F2 0.750 0.750 0.750
Sc1 0.000 0.000 0.000
Hf1 0.500 0.500 0.500

Values from the calculation:
total magnetization: 0.000 μB per cell
N(E_F): 4.4 states/eV per cell
space-group type: No. 225

#B
Entry from the Alexandria database: a geometry-optimized HfScF2 structure (PBE).

Lattice parameters (Å, degrees): 7.818 7.818 7.818 22.31 22.31 22.31
Fractional coordinates of all 4 atoms:
F1 0.901 0.901 0.901
F2 0.099 0.099 0.099
Sc1 0.500 0.500 0.500
Hf1 0.000 0.000 0.000

Values from the calculation:
total magnetization: 0.000 μB per cell
N(E_F): 4.2 states/eV per cell
space-group type: No. 166

The relative energies come out as #A 0.874; #B 0.000, with values in eV/atom.

#A
Entry from the Alexandria database: a geometry-optimized HfSc3F structure (PBE).

Lattice parameters (Å, degrees): 4.602 4.602 4.602 90.00 90.00 90.00
Fractional coordinates of all 5 atoms:
Sc1 0.500 0.000 0.000
Sc2 0.000 0.000 0.500
Sc3 0.000 0.500 0.000
F1 0.000 0.000 0.000
Hf1 0.500 0.500 0.500

Values from the calculation:
total magnetization: 0.000 μB per cell
N(E_F): 7.2 states/eV per cell
space-group type: No. 221

#B
Entry from the Alexandria database: a geometry-optimized HfSc3F structure (PBE).

Lattice parameters (Å, degrees): 5.274 5.274 5.274 90.00 90.00 90.00
Fractional coordinates of all 5 atoms:
Sc1 0.500 0.000 0.000
Sc2 0.000 0.000 0.500
Sc3 0.000 0.500 0.000
Hf1 0.000 0.000 0.000
F1 0.500 0.500 0.500

Values from the calculation:
total magnetization: 0.000 μB per cell
N(E_F): 1.4 states/eV per cell
space-group type: No. 221

The relative energies come out as #A 0.000; #B 1.438, with values in eV/atom.